Ag2HSe2: relaxed, PBEsol.

CIF file:
```
data_Ag2HSe2
_symmetry_space_group_name_H-M 'I 4/m m m'
_symmetry_Int_Tables_number 139
_symmetry_space_group_name_Hall '-I 4 2'
_cell_length_a 5.2408
_cell_length_b 5.2408
_cell_length_c 7.2139
_cell_angle_alpha 90.00
_cell_angle_beta 90.00
_cell_angle_gamma 90.00
loop_
_atom_site_label
_atom_site_type_symbol
_atom_site_fract_x
_atom_site_fract_y
_atom_site_fract_z
_atom_site_occupancy
Ag1 Ag 0.0000 0.5000 0.2500 1
H1 H 0.0000 0.0000 0.0000 1
Se1 Se 0.0000 0.0000 0.2470 1
```

The total energy is -3.442 eV per atom.



AgSnH3: relaxed, PBEsol.

CIF file:
```
data_AgSnH3
_symmetry_space_group_name_H-M 'P m -3 m'
_symmetry_Int_Tables_number 221
_symmetry_space_group_name_Hall '-P 4 2 3'
_cell_length_a 3.8320
_cell_length_b 3.8320
_cell_length_c 3.8320
_cell_angle_alpha 90.00
_cell_angle_beta 90.00
_cell_angle_gamma 90.00
loop_
_atom_site_label
_atom_site_type_symbol
_atom_site_fract_x
_atom_site_fract_y
_atom_site_fract_z
_atom_site_occupancy
Ag1 Ag 0.0000 0.0000 0.0000 1
Sn1 Sn 0.5000 0.5000 0.5000 1
H1 H 0.0000 0.0000 0.5000 1
```

The total energy is -3.024 eV per atom.



Sr2AgH: relaxed, PBEsol.

CIF file:
```
data_Sr2AgH
_symmetry_space_group_name_H-M 'I -4 2 d'
_symmetry_Int_Tables_number 122
_symmetry_space_group_name_Hall 'I -4 2bw'
_cell_length_a 7.2755
_cell_length_b 7.2755
_cell_length_c 8.1420
_cell_angle_alpha 90.00
_cell_angle_beta 90.00
_cell_angle_gamma 90.00
loop_
_atom_site_label
_atom_site_type_symbol
_atom_site_fract_x
_atom_site_fract_y
_atom_site_fract_z
_atom_site_occupancy
Sr1 Sr 0.1721 0.2500 0.1250 1
Ag1 Ag 0.0000 0.0000 0.5000 1
H1 H 0.0000 0.0000 0.0000 1
```

The total energy is -2.731 eV per atom.



SrAgH2: relaxed, PBEsol.

CIF file:
```
data_SrAgH2
_symmetry_space_group_name_H-M 'I -4 2 d'
_symmetry_Int_Tables_number 122
_symmetry_space_group_name_Hall 'I -4 2bw'
_cell_length_a 4.6582
_cell_length_b 4.6582
_cell_length_c 11.3502
_cell_angle_alpha 90.00
_cell_angle_beta 90.00
_cell_angle_gamma 90.00
loop_
_atom_site_label
_atom_site_type_symbol
_atom_site_fract_x
_atom_site_fract_y
_atom_site_fract_z
_atom_site_occupancy
Sr1 Sr 0.0000 0.0000 0.0000 1
Ag1 Ag 0.0000 0.0000 0.5000 1
H1 H 0.1119 0.2500 0.6250 1
```

The total energy is -3.013 eV per atom.



TiAg2H: relaxed, PBEsol.

CIF file:
```
data_TiAg2H
_symmetry_space_group_name_H-M 'F m -3 m'
_symmetry_Int_Tables_number 225
_symmetry_space_group_name_Hall '-F 4 2 3'
_cell_length_a 6.1488
_cell_length_b 6.1488
_cell_length_c 6.1488
_cell_angle_alpha 90.00
_cell_angle_beta 90.00
_cell_angle_gamma 90.00
loop_
_atom_site_label
_atom_site_type_symbol
_atom_site_fract_x
_atom_site_fract_y
_atom_site_fract_z
_atom_site_occupancy
Ti1 Ti 0.0000 0.0000 0.0000 1
Ag1 Ag 0.2500 0.2500 0.2500 1
H1 H 0.0000 0.0000 0.5000 1
```

The total energy is -3.843 eV per atom.



Ti3AgH: relaxed, PBEsol.

CIF file:
```
data_Ti3AgH
_symmetry_space_group_name_H-M 'P m -3 m'
_symmetry_Int_Tables_number 221
_symmetry_space_group_name_Hall '-P 4 2 3'
_cell_length_a 4.0509
_cell_length_b 4.0509
_cell_length_c 4.0509
_cell_angle_alpha 90.00
_cell_angle_beta 90.00
_cell_angle_gamma 90.00
loop_
_atom_site_label
_atom_site_type_symbol
_atom_site_fract_x
_atom_site_fract_y
_atom_site_fract_z
_atom_site_occupancy
Ti1 Ti 0.0000 0.0000 0.5000 1
Ag1 Ag 0.5000 0.5000 0.5000 1
H1 H 0.0000 0.0000 0.0000 1
```

The total energy is -6.458 eV per atom.



Zr3AgH: relaxed, PBEsol.

CIF file:
```
data_Zr3AgH
_symmetry_space_group_name_H-M 'P m -3 m'
_symmetry_Int_Tables_number 221
_symmetry_space_group_name_Hall '-P 4 2 3'
_cell_length_a 4.3656
_cell_length_b 4.3656
_cell_length_c 4.3656
_cell_angle_alpha 90.00
_cell_angle_beta 90.00
_cell_angle_gamma 90.00
loop_
_atom_site_label
_atom_site_type_symbol
_atom_site_fract_x
_atom_site_fract_y
_atom_site_fract_z
_atom_site_occupancy
Zr1 Zr 0.0000 0.0000 0.5000 1
Ag1 Ag 0.5000 0.5000 0.5000 1
H1 H 0.0000 0.0000 0.0000 1
```

The total energy is -6.962 eV per atom.



HfAg3Hg: relaxed, PBEsol.

CIF file:
```
data_HfAg3Hg
_symmetry_space_group_name_H-M 'P m -3 m'
_symmetry_Int_Tables_number 221
_symmetry_space_group_name_Hall '-P 4 2 3'
_cell_length_a 4.9516
_cell_length_b 4.9516
_cell_length_c 4.9516
_cell_angle_alpha 90.00
_cell_angle_beta 90.00
_cell_angle_gamma 90.00
loop_
_atom_site_label
_atom_site_type_symbol
_atom_site_fract_x
_atom_site_fract_y
_atom_site_fract_z
_atom_site_occupancy
Hf1 Hf 0.0000 0.0000 0.0000 1
Ag1 Ag 0.0000 0.5000 0.5000 1
Hg1 Hg 0.5000 0.5000 0.5000 1
```

The formation energy from the elements comes out at 1.088 eV per atom. The total energy is -3.113 eV per atom.